# Tm2Sc3Te2

An optimized crystal structure of Tm2Sc3Te2 (GGA-PBE, Alexandria).

Results
Its density is 6.810 g cm⁻³. Its symmetry is C2/m, No. 12. The total moment is 0.00 μB/f.u. The uncorrected energy comes out at -5.557 eV/atom.

a = 3.926 Å, b = 6.235 Å, c = 8.192 Å
α = 110.05°, β = 90.00°, γ = 108.35°
Element x y z (fractional)
Sc (0.620, 0.240, 0.450)
Sc (0.380, 0.760, 0.550)
Sc (0.500, 0.000, 0.000)
Te (0.831, 0.662, 0.789)
Te (0.169, 0.338, 0.211)
Tm (0.129, 0.258, 0.788)
Tm (0.871, 0.742, 0.212)

# Mg2ZrPb

An optimized crystal structure of Mg2ZrPb (GGA-PBE, Alexandria).

Results
Its density is 6.130 g cm⁻³. Its symmetry is I4/mmm, No. 139. The formation enthalpy at 0 K comes out at -0.243 eV per formula unit. The total moment is 0.00 μB/f.u. The uncorrected energy comes out at -3.922 eV/atom.

a = 6.019 Å, b = 6.019 Å, c = 6.019 Å
α = 138.70°, β = 138.70°, γ = 59.83°
Element x y z (fractional)
Zr (0.750, 0.250, 0.500)
Mg (0.000, 0.000, 0.000)
Mg (0.500, 0.500, 0.000)
Pb (0.250, 0.750, 0.500)

Q: Among the records above, which one has the highest uncorrected energy?
A: Mg2ZrPb